CaV2OF | PBE+U | relaxed

Calculated values
Energy = -25.87 eV/cell
Fermi-level density of states = 0.11 states/eV per atom
Mass density = 3.0 Mg/m³
Total magnetic moment = 7.00 μB/f.u.

Cell: 4.0078 4.0078 6.0622 Å, 90.00 90.00 90.00°
With the nearest neighbours (Å) after each atom.
Space group P4/mmm (No. 123)
Inequivalent atoms, fractional coordinates:
Ca1 0.0000 0.0000 0.0000 (multiplicity 1)  4 O 2.83
V1 0.0000 0.5000 0.5000 (multiplicity 2)  2 F 2.00
O1 0.5000 0.5000 0.0000 (multiplicity 1)  4 Ca 2.83, 2 F 3.03
F1 0.5000 0.5000 0.5000 (multiplicity 1)  4 V 2.00